Below is crystalline Cd2AgAsRu at its relaxed geometry, with properties calculated at the GGA-PBE level.

Properties
Its space-group type is No. 123. For the formation enthalpy at 0 K, the calculation gives 0.3349 eV/atom.

Cell: 5.2398 4.5563 5.2398 Å, 90.00 90.00 90.00°
Last column: nearest neighbours and their distance in Å.
Sites, in units of the cell vectors:
Cd  0.5000  0.0000  0.0000  2 Ru 2.62
Cd  0.0000  0.0000  0.5000  2 Ru 2.62
As  0.0000  0.5000  0.0000  2 Ru 2.28
Ag  0.5000  0.5000  0.5000  8 Cd 3.47, 4 As 3.71
Ru  0.0000  0.0000  0.0000  2 As 2.28